(1)
Computed, not measured: an optimized crystal structure of SrCr2IO6 at the PBE with a Hubbard U level of DFT.

```
10
Lattice="5.5779 0.0606 0.0945 2.8381 4.8334 0.1212 2.8800 1.7056 4.7303" Properties=species:S:1:pos:R:3 pbc="T T T"
O 6.6863 2.4223 3.8253
Cr 2.8436 1.7064 4.5481
O 4.6272 4.4191 0.8941
Sr 8.3852 4.9606 3.3920
O 5.7843 4.8211 3.6451
Cr 5.6658 3.3189 2.2088
O 5.7538 1.6699 1.1339
O 7.4060 3.7733 1.3575
O 4.0547 2.6653 3.2457
I 2.4691 1.6105 0.4784
```

Values from the calculation:
V ... 12.47 A^3/atom
Calculated total energy ... -63.4 eV for the cell shown
Spin magnetization ... 5.3 Bohr magnetons per cell

(2)
Computed, not measured: an optimized crystal structure of Sr2CrI2O2 at the PBE with a Hubbard U level of DFT.

```
7
Lattice="4.1594 0.0000 0.0000 2.0797 6.2164 -0.2307 2.0797 2.1385 6.8655" Properties=species:S:1:pos:R:3 pbc="T T T"
I 4.1594 2.6617 4.5923
Sr 2.0797 2.7993 1.3308
I 4.1594 5.6932 2.0424
O 4.1594 1.9673 0.3930
O 4.1594 6.3876 6.2418
Cr 0.0000 0.0000 0.0000
Sr 6.2391 5.5556 5.3040
```

Values from the calculation:
V ... 25.65 A^3/atom
Calculated total energy ... -37.4 eV for the cell shown
Spin magnetization ... 4.0 Bohr magnetons per cell

(3)
Computed, not measured: an optimized crystal structure of TaCrIO2 at the PBE with a Hubbard U level of DFT.

```
5
Lattice="-2.2642 -1.5665 -2.8849 2.7650 -2.7991 -0.6502 -2.7134 -3.6333 4.1024" Properties=species:S:1:pos:R:3 pbc="T T T"
I -1.3567 -1.8166 2.0512
O -1.1321 -0.7832 -1.4424
Cr -1.1063 -3.9994 0.2837
Ta 0.0000 0.0000 0.0000
O 1.3825 -1.3996 -0.3251
```

Values from the calculation:
V ... 19.45 A^3/atom
Calculated total energy ... -36.8 eV for the cell shown
Spin magnetization ... 4.9 Bohr magnetons per cell

(4)
Computed, not measured: an optimized crystal structure of TaCrIO2 at the PBE with a Hubbard U level of DFT.

```
5
Lattice="3.9161 0.0000 0.0000 0.0000 3.9161 0.0000 0.0000 0.0000 5.6305" Properties=species:S:1:pos:R:3 pbc="T T T"
O 1.9580 0.0000 0.0000
Ta 1.9580 1.9580 2.8153
Cr 0.0000 0.0000 0.0000
O 0.0000 1.9580 0.0000
I 0.0000 0.0000 2.8153
```

Values from the calculation:
V ... 17.27 A^3/atom
Calculated total energy ... -29.6 eV for the cell shown
Spin magnetization ... 1.0 Bohr magnetons per cell